6
Lattice="0.000 3.878 3.878 3.878 0.000 3.878 3.878 3.878 0.000" Properties=species:S:1:pos:R:3 comment="BaYRu4 (PBE, relaxed)" total_energy_ev_per_atom=-7.323 crystal_system=cubic magmom_total_mub_per_atom=0.30 pbc="T T T"
Ba 0.000 0.000 0.000
Y 1.939 1.939 1.939
Ru 4.840 2.915 2.915
Ru 2.915 4.840 2.915
Ru 2.915 2.915 4.840
Ru 4.840 4.840 4.840